# 1
## BaAs2Ir (PBE-GGA)

Data for an optimized crystal structure of BaAs2Ir.

Cell lengths 4.4477, 4.5738, 5.5855 Å; angles 77.48, 90.00, 90.00 degrees
Fractional positions:
Ba1 0.0000 0.5677 0.4896
As1 0.5000 0.2310 0.1399
As2 0.0000 0.9588 0.9103
Ir1 0.5000 0.7425 0.9602

Energy of formation, meV per atom: -438
Magnetization, Bohr magnetons per cell: 0.000
Symmetry: Pm (6)



# 2
## K2CS5 (PBE-GGA)

Data for an optimized crystal structure of K2CS5.

Cell lengths 6.7856, 6.2956, 6.6753 Å; angles 100.48, 120.55, 90.00 degrees
Fractional positions:
C1 0.8808 0.8033 0.7616
K1 0.8328 0.2798 0.6657
K2 0.2106 0.7946 0.4212
S1 0.2484 0.2402 0.2045
S2 0.1756 0.8463 0.9195
S3 0.7439 0.8463 0.9195
S4 0.9561 0.2402 0.2045
S5 0.7287 0.7263 0.4575

Formation energy from raw total energies, eV per formula unit: -2.79
Magnetization, Bohr magnetons per cell: 0.000
Symmetry: Cm (8)



# 3
## Be4IrAu3 (PBE-GGA)

Data for an optimized crystal structure of Be4IrAu3.

Cell lengths 2.9120, 2.9120, 11.8506 Å; angles 90.00, 90.00, 90.00 degrees
Fractional positions:
Au1 0.5000 0.5000 0.2443
Au2 0.5000 0.5000 0.7557
Au3 0.5000 0.5000 0.5000
Be1 0.0000 0.0000 0.3717
Be2 0.0000 0.0000 0.6283
Be3 0.0000 0.0000 0.8973
Be4 0.0000 0.0000 0.1027
Ir1 0.5000 0.5000 0.0000

Energy of formation, meV per atom: -266
Magnetization, Bohr magnetons per cell: 0.000
Symmetry: P4/mmm (123)



# 4
## CeErBi (PBE-GGA)

Data for an optimized crystal structure of CeErBi.

Cell lengths 4.1029, 7.2795, 7.9704 Å; angles 90.00, 104.91, 90.00 degrees
Fractional positions:
Ce1 0.6093 0.4584 0.2187
Ce2 0.3907 0.9584 0.7813
Er1 0.6221 0.9611 0.2443
Er2 0.3779 0.4611 0.7557
Bi1 0.7811 0.7069 0.5622
Bi2 0.2189 0.2069 0.4378

Energy of formation, meV per atom: 67
Magnetization, Bohr magnetons per cell: 3.421
Symmetry: Cmc2_1 (36)



# 5
## Sm6Dy3TmTh2 (PBE-GGA)

Data for an optimized crystal structure of Sm6Dy3TmTh2.

Cell lengths 6.2063, 6.2063, 11.9331 Å; angles 94.99, 94.99, 119.95 degrees
Fractional positions:
Dy1 0.8333 0.1667 0.5000
Dy2 0.5000 0.5000 0.5000
Dy3 0.1667 0.8333 0.5000
Sm1 0.9173 0.5821 0.7524
Sm2 0.0827 0.4179 0.2476
Sm3 0.2530 0.2530 0.7519
Sm4 0.7470 0.7470 0.2481
Sm5 0.4179 0.0827 0.2476
Sm6 0.5821 0.9173 0.7524
Th1 0.6663 0.3337 0.0000
Th2 0.3337 0.6663 0.0000
Tm1 0.0000 0.0000 0.0000

Energy of formation, meV per atom: 33
Magnetization, Bohr magnetons per cell: 0.000
Symmetry: C2/m (12)



# 6
## La2TiTeS (PBE-GGA)

Data for an optimized crystal structure of La2TiTeS.

Cell lengths 5.4361, 5.3474, 5.4361 Å; angles 90.00, 90.00, 90.00 degrees
Fractional positions:
Ti1 0.5000 0.5000 0.5000
La1 0.5000 0.0000 0.0000
La2 0.0000 0.0000 0.5000
S1 0.0000 0.0000 0.0000
Te1 0.0000 0.5000 0.0000

Formation energy from raw total energies, eV per formula unit: -0.63
Magnetization, Bohr magnetons per cell: 0.000
Symmetry: P4/mmm (123)



# 7
## CePm2Tl (PBE-GGA)

Data for an optimized crystal structure of CePm2Tl.

Cell lengths 3.6305, 3.6305, 11.2884 Å; angles 80.75, 80.75, 60.00 degrees
Fractional positions:
Pm1 0.2538 0.2538 0.2387
Pm2 0.0797 0.0797 0.7608
Ce1 0.4998 0.4998 0.5006
Tl1 0.6667 0.6667 0.9999

Energy of formation, meV per atom: -46
Magnetization, Bohr magnetons per cell: 1.206
Symmetry: R3m (160)



# 8
## LaNd2SmEr5 (PBE-GGA)

Data for an optimized crystal structure of LaNd2SmEr5.

Cell lengths 8.7290, 8.7290, 9.9362 Å; angles 116.06, 116.06, 90.00 degrees
Fractional positions:
Er1 0.0000 0.0000 0.0000
Er2 0.9273 0.4273 0.2728
Er3 0.5000 0.5000 0.0000
Er4 0.5727 0.6545 0.7272
Er5 0.3455 0.8455 0.2728
Er6 0.6545 0.1545 0.7272
Er7 0.4273 0.3455 0.2728
Er8 0.8455 0.9273 0.2728
Er9 0.0727 0.5727 0.7272
Er10 0.1545 0.0727 0.7272
Nd1 0.8827 0.6173 0.0000
Nd2 0.6173 0.1173 0.0000
Nd3 0.1173 0.3827 0.0000
Nd4 0.3827 0.8827 0.0000
Sm1 0.2500 0.7500 0.5000
Sm2 0.7500 0.2500 0.5000
La1 0.2500 0.2500 0.5000
La2 0.7500 0.7500 0.5000

Energy of formation, meV per atom: 249
Magnetization, Bohr magnetons per cell: 0.001
Symmetry: I4/mcm (140)



# 9
## DyB4Os4 (PBE-GGA)

Data for an optimized crystal structure of DyB4Os4.

Cell lengths 4.0200, 7.5508, 7.5508 Å; angles 90.00, 90.00, 90.00 degrees
Fractional positions:
Os1 0.8844 0.6082 0.8538
Os2 0.6156 0.1082 0.3538
Os3 0.8844 0.3918 0.1462
Os4 0.3844 0.3538 0.8918
Os5 0.1156 0.8538 0.3918
Os6 0.1156 0.1462 0.6082
Os7 0.6156 0.8918 0.6462
Os8 0.3844 0.6462 0.1082
B1 0.8866 0.6637 0.2189
B2 0.3866 0.7189 0.8363
B3 0.6134 0.8363 0.2811
B4 0.8866 0.3363 0.7811
B5 0.3866 0.2811 0.1637
B6 0.1134 0.2189 0.3363
B7 0.6134 0.1637 0.7189
B8 0.1134 0.7811 0.6637
Dy1 0.5000 0.5000 0.5000
Dy2 0.0000 0.0000 0.0000

Energy of formation, meV per atom: -380
Magnetization, Bohr magnetons per cell: 0.000
Symmetry: P4_2/n (86)



# 10
## Rb2OsPdCl6 (PBE-GGA)

Data for an optimized crystal structure of Rb2OsPdCl6.

Cell lengths 6.9900, 6.9900, 7.2807 Å; angles 61.31, 61.31, 90.00 degrees
Fractional positions:
Os1 0.0000 0.0000 0.0000
Cl1 0.2427 0.7573 0.0000
Cl2 0.7573 0.2427 0.0000
Cl3 0.7573 0.7573 0.0000
Cl4 0.7762 0.7762 0.4476
Cl5 0.2238 0.2238 0.5524
Cl6 0.2427 0.2427 0.0000
Rb1 0.7500 0.2500 0.5000
Rb2 0.2500 0.7500 0.5000
Pd1 0.5000 0.5000 0.0000

Formation energy from raw total energies, eV per formula unit: -8.80
Magnetization, Bohr magnetons per cell: 1.970
Symmetry: I4/mmm (139)



# 11
## ScCd2Ru (PBE-GGA)

Data for an optimized crystal structure of ScCd2Ru.

Cell lengths 5.5061, 5.5061, 5.5061 Å; angles 144.18, 127.74, 64.98 degrees
Fractional positions:
Cd1 0.9977 0.9977 0.0000
Cd2 0.7351 0.2351 0.5000
Ru1 0.4888 0.4888 0.0000
Sc1 0.2785 0.7785 0.5000

Energy of formation, meV per atom: -94
Magnetization, Bohr magnetons per cell: 0.000
Symmetry: Imm2 (44)



# 12
## Ac2AgSn3Ir4 (PBE-GGA)

Data for an optimized crystal structure of Ac2AgSn3Ir4.

Cell lengths 4.4380, 4.4380, 11.5010 Å; angles 90.00, 90.00, 90.00 degrees
Fractional positions:
Ac1 0.0000 0.5000 0.7448
Ac2 0.5000 0.0000 0.2552
Sn1 0.0000 0.0000 0.5000
Sn2 0.5000 0.0000 0.8743
Sn3 0.0000 0.5000 0.1257
Ir1 0.0000 0.0000 0.0000
Ir2 0.5000 0.0000 0.6441
Ir3 0.5000 0.5000 0.0000
Ir4 0.0000 0.5000 0.3559
Ag1 0.5000 0.5000 0.5000

Energy of formation, meV per atom: -469
Magnetization, Bohr magnetons per cell: 0.000
Symmetry: P-4m2 (115)



Results for mass density: 7.177; 1.733; 13.536; 7.455; 8.564; 5.100; 8.322; 7.915; 14.007; 4.325; 8.074; 12.366 (in Mg/m³, following the order of the records).